--- 1 ---
The following is a PBE-GGA calculation of a geometry-optimized La2Ho3Er4 structure, from the Alexandria database.

Unit cell a=6.902 b=6.902 c=8.503 alpha=99.10 beta=99.10 gamma=127.62
Positions (direct):
La1 0.615 0.615 0.231
La2 0.385 0.385 0.769
Ho1 0.500 0.000 0.000
Ho2 0.000 0.500 0.000
Ho3 0.000 0.000 0.000
Er1 0.332 0.044 0.376
Er2 0.668 0.956 0.624
Er3 0.956 0.668 0.624
Er4 0.044 0.332 0.376

The value obtained for the total magnetization is 0.0 μB/f.u. The calculation puts the density of states at the Fermi level at 17.1 states/eV/f.u.


--- 2 ---
The following is a PBE-GGA calculation of a geometry-optimized La2Ho3Er4 structure, from the Alexandria database.

Unit cell a=3.587 b=3.587 c=26.326 alpha=90.00 beta=90.00 gamma=120.00
Each line ends with the local moment (μB).
Positions (direct):
La1 0.667 0.333 0.093  0.00
La2 0.667 0.333 0.867  0.00
Ho1 0.000 0.000 0.982  0.01
Ho2 0.000 0.000 0.330  0.06
Ho3 0.667 0.333 0.648  -0.03
Er1 0.000 0.000 0.542  0.01
Er2 0.667 0.333 0.436  0.07
Er3 0.667 0.333 0.226  0.04
Er4 0.000 0.000 0.754  -0.02

The value obtained for the total magnetization is 0.2 μB/f.u. The calculation puts the density of states at the Fermi level at 15.7 states/eV/f.u.


It is 2 that is most stable; the runner-up trails by 134 meV per atom.


--- 1 ---
The following is a PBE-GGA calculation of a geometry-optimized LaHo2Er6 structure, from the Alexandria database.

Unit cell a=3.474 b=5.604 c=17.116 alpha=119.40 beta=101.72 gamma=90.02
Positions (direct):
La1 0.500 0.500 0.500
Ho1 0.836 0.502 0.835
Ho2 0.164 0.498 0.165
Er1 0.448 0.170 0.947
Er2 0.552 0.830 0.053
Er3 0.771 0.159 0.273
Er4 0.115 0.172 0.615
Er5 0.229 0.841 0.727
Er6 0.885 0.828 0.385

The value obtained for the total magnetization is 0.0 μB/f.u. The calculation puts the density of states at the Fermi level at 16.0 states/eV/f.u.


--- 2 ---
The following is a PBE-GGA calculation of a geometry-optimized LaHo2Er6 structure, from the Alexandria database.

Unit cell a=5.020 b=10.609 c=10.608 alpha=90.00 beta=90.00 gamma=90.00
Positions (direct):
La1 0.500 0.500 0.000
La2 0.000 0.000 0.500
Ho1 0.000 0.331 0.831
Ho2 0.500 0.831 0.669
Ho3 0.500 0.169 0.331
Ho4 0.000 0.669 0.169
Er1 0.000 0.000 0.165
Er2 0.000 0.665 0.500
Er3 0.000 0.669 0.831
Er4 0.500 0.169 0.669
Er5 0.500 0.165 0.000
Er6 0.500 0.500 0.335
Er7 0.000 0.000 0.835
Er8 0.000 0.335 0.500
Er9 0.000 0.331 0.169
Er10 0.500 0.831 0.331
Er11 0.500 0.835 0.000
Er12 0.500 0.500 0.665

The value obtained for the total magnetization is 0.0 μB/f.u. The calculation puts the density of states at the Fermi level at 11.6 states/eV/f.u.


It is 2 that is most stable; the runner-up trails by 47 meV per atom.


--- 1 ---
The following is a PBE-GGA calculation of a geometry-optimized La3Ho2Er3 structure, from the Alexandria database.

Unit cell a=5.736 b=6.028 c=8.783 alpha=109.27 beta=109.06 gamma=90.00
Positions (direct):
La1 0.864 0.301 0.728
La2 0.136 0.699 0.272
La3 0.000 0.000 0.000
Ho1 0.749 0.680 0.498
Ho2 0.251 0.320 0.502
Er1 0.366 0.918 0.732
Er2 0.500 0.500 0.000
Er3 0.634 0.082 0.268

The value obtained for the total magnetization is 0.0 μB/f.u. The calculation puts the density of states at the Fermi level at 13.2 states/eV/f.u.


--- 2 ---
The following is a PBE-GGA calculation of a geometry-optimized La3Ho2Er3 structure, from the Alexandria database.

Unit cell a=5.012 b=5.138 c=10.901 alpha=103.63 beta=103.29 gamma=90.00
Positions (direct):
La1 0.624 0.624 0.249
La2 0.376 0.376 0.751
La3 0.500 0.000 0.000
Ho1 0.749 0.249 0.497
Ho2 0.251 0.751 0.503
Er1 0.128 0.128 0.256
Er2 0.000 0.500 0.000
Er3 0.872 0.872 0.744

The value obtained for the total magnetization is 0.0 μB/f.u. The calculation puts the density of states at the Fermi level at 13.6 states/eV/f.u.


It is 2 that is most stable; the runner-up trails by 55 meV per atom.


--- 1 ---
The following is a PBE-GGA calculation of a geometry-optimized La2HoEr6 structure, from the Alexandria database.

Unit cell a=6.552 b=9.583 c=9.583 alpha=96.08 beta=81.30 gamma=81.30
Positions (direct):
La1 0.121 0.615 0.671
La2 0.379 0.329 0.385
La3 0.879 0.385 0.329
La4 0.621 0.671 0.615
Ho1 0.250 0.116 0.884
Ho2 0.750 0.884 0.116
Er1 0.502 0.657 0.274
Er2 0.998 0.726 0.343
Er3 0.498 0.343 0.726
Er4 0.002 0.274 0.657
Er5 0.734 0.056 0.460
Er6 0.766 0.540 0.944
Er7 0.266 0.944 0.540
Er8 0.234 0.460 0.056
Er9 0.312 0.779 0.960
Er10 0.188 0.040 0.221
Er11 0.688 0.221 0.040
Er12 0.812 0.960 0.779

The value obtained for the total magnetization is 0.0 μB/f.u. The calculation puts the density of states at the Fermi level at 11.9 states/eV/f.u.


--- 2 ---
The following is a PBE-GGA calculation of a geometry-optimized La2HoEr6 structure, from the Alexandria database.

Unit cell a=5.081 b=10.667 c=10.667 alpha=90.00 beta=90.00 gamma=90.00
Positions (direct):
La1 0.000 0.335 0.834
La2 0.500 0.835 0.666
La3 0.500 0.165 0.334
La4 0.000 0.665 0.166
Ho1 0.500 0.500 0.000
Ho2 0.000 0.000 0.500
Er1 0.000 0.001 0.165
Er2 0.000 0.665 0.501
Er3 0.000 0.668 0.832
Er4 0.500 0.168 0.668
Er5 0.500 0.165 0.999
Er6 0.500 0.501 0.335
Er7 0.000 0.999 0.835
Er8 0.000 0.335 0.499
Er9 0.000 0.332 0.168
Er10 0.500 0.832 0.332
Er11 0.500 0.835 0.001
Er12 0.500 0.499 0.665

The value obtained for the total magnetization is 0.0 μB/f.u. The calculation puts the density of states at the Fermi level at 13.6 states/eV/f.u.


It is 2 that is most stable; the runner-up trails by 79 meV per atom.


--- 1 ---
The following is a PBE-GGA calculation of a geometry-optimized La2Ho2Er7 structure, from the Alexandria database.

Unit cell a=6.584 b=6.584 c=8.431 alpha=98.41 beta=98.41 gamma=88.44
Positions (direct):
La1 0.611 0.611 0.365
La2 0.389 0.389 0.635
Ho1 0.816 0.184 0.000
Ho2 0.184 0.816 0.000
Er1 0.501 0.903 0.694
Er2 0.903 0.501 0.694
Er3 0.691 0.691 0.022
Er4 0.000 0.000 0.500
Er5 0.309 0.309 0.978
Er6 0.499 0.097 0.306
Er7 0.097 0.499 0.306

The value obtained for the total magnetization is 0.0 μB/f.u. The calculation puts the density of states at the Fermi level at 14.2 states/eV/f.u.


--- 2 ---
The following is a PBE-GGA calculation of a geometry-optimized La2Ho2Er7 structure, from the Alexandria database.

Unit cell a=6.034 b=8.061 c=8.061 alpha=91.76 beta=73.80 gamma=73.80
Positions (direct):
La1 0.500 0.211 0.789
La2 0.500 0.789 0.211
Ho1 0.812 0.404 0.404
Ho2 0.188 0.596 0.596
Er1 0.170 0.063 0.592
Er2 0.830 0.408 0.937
Er3 0.830 0.937 0.408
Er4 0.170 0.592 0.063
Er5 0.000 0.000 0.000
Er6 0.582 0.760 0.760
Er7 0.418 0.240 0.240

The value obtained for the total magnetization is 0.0 μB/f.u. The calculation puts the density of states at the Fermi level at 16.4 states/eV/f.u.


It is 2 that is most stable; the runner-up trails by 27 meV per atom.


--- 1 ---
The following is a PBE-GGA calculation of a geometry-optimized La2HoEr2 structure, from the Alexandria database.

Unit cell a=6.378 b=8.560 c=6.822 alpha=102.84 beta=90.00 gamma=111.87
Positions (direct):
La1 0.613 0.399 0.652
La2 0.214 0.601 0.848
La3 0.387 0.601 0.348
La4 0.786 0.399 0.152
Ho1 0.585 0.000 0.750
Ho2 0.415 0.000 0.250
Er1 0.822 0.809 0.050
Er2 0.013 0.191 0.450
Er3 0.178 0.191 0.950
Er4 0.987 0.809 0.550

The value obtained for the total magnetization is 0.0 μB/f.u. The calculation puts the density of states at the Fermi level at 8.2 states/eV/f.u.


--- 2 ---
The following is a PBE-GGA calculation of a geometry-optimized La2HoEr2 structure, from the Alexandria database.

Unit cell a=8.881 b=6.534 c=6.534 alpha=95.32 beta=105.31 gamma=105.31
Positions (direct):
La1 0.140 0.247 0.074
La2 0.860 0.753 0.926
La3 0.360 0.926 0.753
La4 0.640 0.074 0.247
Ho1 0.250 0.791 0.209
Ho2 0.750 0.209 0.791
Er1 0.000 0.500 0.500
Er2 0.000 0.000 0.500
Er3 0.500 0.500 0.500
Er4 0.500 0.500 0.000

The value obtained for the total magnetization is 0.0 μB/f.u. The calculation puts the density of states at the Fermi level at 8.2 states/eV/f.u.


It is 1 that is most stable; the runner-up trails by 216 meV per atom.